1.
YRu2W after structural relaxation. Source: the Alexandria database, functional GGA-PBE.

total magnetic moment	0.0	Bohr magnetons per cell
space-group type	No. 122
formation energy	369	meV per atom
uncorrected energy	-72.99	eV for the cell shown
DOS(E_F)	1.06	states/eV per atom
ρ	10.116	g cm⁻³

Lattice parameters (Å, degrees): 5.919 5.919 5.919 104.70 104.70 119.50
Element x y z (fractional)
Y 0.000 0.000 0.000
Y 0.750 0.250 0.500
Ru 0.174 0.125 0.549
Ru 0.375 0.826 0.951
Ru 0.576 0.625 0.451
Ru 0.875 0.424 0.049
W 0.250 0.750 0.500
W 0.500 0.500 0.000

=====

2.
Ce3MnGe3 after structural relaxation. Source: the Alexandria database, functional GGA-PBE.

total magnetic moment	5.6	Bohr magnetons per cell
space-group type	No. 12
formation energy	-594	meV per atom
uncorrected energy	-89.97	eV for the cell shown
DOS(E_F)	2.23	states/eV per atom
ρ	7.288	g cm⁻³

Lattice parameters (Å, degrees): 5.853 5.853 14.359 109.24 109.24 43.37
Element x y z (fractional)
Ce 0.021 0.021 0.379
Ce 0.100 0.100 0.922
Ce 0.247 0.247 0.231
Ce 0.753 0.753 0.769
Ce 0.900 0.900 0.078
Ce 0.979 0.979 0.621
Mn 0.261 0.261 0.596
Mn 0.739 0.739 0.404
Ge 0.364 0.364 0.455
Ge 0.378 0.378 0.923
Ge 0.460 0.460 0.763
Ge 0.540 0.540 0.237
Ge 0.622 0.622 0.077
Ge 0.636 0.636 0.545

=====

3.
GeSe2S after structural relaxation. Source: the Alexandria database, functional GGA-PBE.

E_form (uncorrected)	0.53	eV per atom
total magnetic moment	0.0	Bohr magnetons per cell
space-group type	No. 225
uncorrected energy	-13.60	eV for the cell shown
DOS(E_F)	0.84	states/eV per atom
ρ	5.655	g cm⁻³

Lattice parameters (Å, degrees): 4.778 4.778 4.778 60.00 60.00 60.00
Element x y z (fractional)
Ge 0.000 0.000 0.000
Se 0.250 0.250 0.250
Se 0.750 0.750 0.750
S 0.500 0.500 0.500

=====

4.
AgPb after structural relaxation. Source: the Alexandria database, functional GGA-PBE.

total magnetic moment	0.0	Bohr magnetons per cell
space-group type	No. 141
formation energy	138	meV per atom
uncorrected energy	-12.57	eV for the cell shown
DOS(E_F)	0.44	states/eV per atom
ρ	10.751	g cm⁻³

Lattice parameters (Å, degrees): 5.862 5.862 5.862 135.57 135.57 64.64
Element x y z (fractional)
Ag 0.375 0.625 0.750
Ag 0.625 0.375 0.250
Pb 0.125 0.875 0.250
Pb 0.875 0.125 0.750

=====

5.
MnCoSb after structural relaxation. Source: the Alexandria database, functional GGA-PBE.

E_form (uncorrected)	0.35	eV per atom
total magnetic moment	2.1	Bohr magnetons per cell
space-group type	No. 47
uncorrected energy	-38.67	eV for the cell shown
DOS(E_F)	1.19	states/eV per atom
ρ	7.771	g cm⁻³

Lattice parameters (Å, degrees): 2.914 3.849 8.978 90.00 90.00 90.00
Element x y z (fractional)
Mn 0.000 0.000 0.000
Mn 0.000 0.500 0.500
Co 0.500 0.000 0.376
Co 0.500 0.000 0.624
Sb 0.500 0.500 0.191
Sb 0.500 0.500 0.809

=====

6.
Ac5TbCd6 after structural relaxation. Source: the Alexandria database, functional GGA-PBE.

total magnetic moment	0.0	Bohr magnetons per cell
space-group type	No. 71
formation energy	-284	meV per atom
uncorrected energy	-34.07	eV for the cell shown
DOS(E_F)	1.22	states/eV per atom
ρ	8.366	g cm⁻³

Lattice parameters (Å, degrees): 9.865 9.865 9.865 146.55 131.83 59.91
Element x y z (fractional)
Ac 0.000 0.000 0.000
Ac 0.164 0.664 0.500
Ac 0.327 0.327 0.000
Ac 0.673 0.673 0.000
Ac 0.836 0.336 0.500
Tb 0.500 0.000 0.500
Cd 0.106 0.842 0.265
Cd 0.278 0.500 0.778
Cd 0.423 0.158 0.265
Cd 0.577 0.842 0.735
Cd 0.722 0.500 0.222
Cd 0.894 0.158 0.735